{"formula": "Y3TmTl2", "functional": "PBE-GGA", "state": "relaxed", "final_energy_ev_per_atom": -4.780, "dos_ef_per_ev_fu": 7.50, "polymorph_energy_mev_per_atom": 277.7, "formation_energy_ev_per_atom": -0.014, "crystal_system": "orthorhombic", "lattice": [[-3.641, 7.414, 3.720], [3.641, -7.414, 3.720], [3.641, 7.414, -3.720]], "species": ["Y", "Y", "Y", "Y", "Y", "Y", "Tm", "Tm", "Tl", "Tl", "Tl", "Tl"], "frac_coords": [[0.029, 0.750, 0.279], [0.250, 0.250, 0.000], [0.471, 0.750, 0.721], [0.529, 0.250, 0.279], [0.750, 0.750, 0.000], [0.971, 0.250, 0.721], [0.000, 0.500, 0.500], [0.500, 0.000, 0.500], [0.137, 0.197, 0.334], [0.363, 0.697, 0.061], [0.637, 0.303, 0.939], [0.863, 0.803, 0.666]]}